#A
VASP calculation (PBE-GGA) on K2Rb2Tl after structural relaxation.

Values from the calculation:
Size of the total moment: 0.00 μB per formula unit
N(E_F): 1.037 states/eV per atom

Cell lengths 5.6534, 5.6534, 21.9671 Å; angles 90.00, 90.00, 90.00 degrees
Last column: nearest neighbours and their distance in Å.
Space group I4/mmm (No. 139)
Inequivalent atoms, fractional coordinates:
K  0.0000  0.0000  0.0833 [4 per cell]  1 K 3.66
Rb  0.0000  0.5000  0.2500 [4 per cell]  4 Rb 4.00
Tl  0.0000  0.0000  0.5000 [2 per cell]  8 K 4.40

---

#B
VASP calculation (PBE-GGA) on K2Rb2Tl after structural relaxation.

Values from the calculation:
Size of the total moment: 0.00 μB per formula unit
N(E_F): 1.179 states/eV per atom

Cell lengths 9.5212, 9.5212, 7.1853 Å; angles 90.00, 90.00, 90.00 degrees
Last column: nearest neighbours and their distance in Å.
Space group P4/mbm (No. 127)
Inequivalent atoms, fractional coordinates:
K  0.1533  0.3467  0.0000 [4 per cell]  2 Tl 3.61
Rb  0.1847  0.6847  0.5000 [4 per cell]  2 K 4.20
Tl  0.0000  0.0000  0.0000 [2 per cell]  4 K 3.61

---

#C
VASP calculation (PBE-GGA) on K2Rb2Tl after structural relaxation.

Values from the calculation:
Size of the total moment: 0.00 μB per formula unit
N(E_F): 0.907 states/eV per atom

Cell lengths 5.3860, 5.3860, 23.7483 Å; angles 90.00, 90.00, 90.00 degrees
Last column: nearest neighbours and their distance in Å.
Space group I4/mmm (No. 139)
Inequivalent atoms, fractional coordinates:
K  0.0000  0.5000  0.2500 [4 per cell]  4 K 3.81
Rb  0.0000  0.0000  0.0842 [4 per cell]  1 Rb 4.00, 4 Tl 4.30
Tl  0.0000  0.0000  0.5000 [2 per cell]  8 Rb 4.30

---

Among the structures above, stability is smallest for #A.